InFe2Se (GGA-PBEsol, relaxed); ρ = 8.12 g/cm³; calculated volume = 62.5 Å³ per cell; energy relative to the elements, uncorrected = 39.9 kJ/mol of atoms; space group = Pmmm; total magnetic moment = 5.09 μB per formula unit; total energy = -0.425 Ry per atom; N(E_F) = 3.84 states/eV/f.u.
1.0
3.428 0.000 0.000
0.000 3.935 0.000
0.000 0.000 4.632
In Fe Se
1 2 1
Direct
0.000 0.000 0.000
0.000 0.500 0.500
0.500 0.500 0.000
0.500 0.000 0.500

***

ZnCuMo (GGA-PBEsol, relaxed); ρ = 8.18 g/cm³; energy relative to the elements = 19.90 kcal/mol of atoms; calculated volume = 45.6 Å³ per cell; space group = F-43m; total magnetic moment = 0.77 μB per formula unit; total energy = -0.370 Ry per atom; N(E_F) = 2.87 states/eV/f.u.
1.0
0.000 2.836 2.836
2.836 0.000 2.836
2.836 2.836 0.000
Zn Cu Mo
1 1 1
Direct
0.000 0.000 0.000
0.750 0.750 0.750
0.250 0.250 0.250

***

YBe2Br (GGA-PBEsol, relaxed); ρ = 4.49 g/cm³; calculated volume = 69.0 Å³ per cell; energy relative to the elements, uncorrected = 26.6 kJ/mol of atoms; space group = P4/mmm; total magnetic moment = 0.00 μB per formula unit; total energy = -0.286 Ry per atom; N(E_F) = 2.46 states/eV/f.u.
1.0
3.999 0.000 0.000
0.000 3.999 0.000
0.000 0.000 4.317
Y Be Br
1 2 1
Direct
0.000 0.000 0.000
0.000 0.500 0.500
0.500 0.000 0.500
0.500 0.500 0.000

***

Co3TeO8 (GGA-PBEsol, relaxed); ρ = 5.31 g/cm³; calculated volume = 135.3 Å³ per cell; energy relative to the elements, uncorrected = -92.5 kJ/mol of atoms; space group = R-3m; total magnetic moment = 1.05 μB per formula unit; total energy = -0.491 Ry per atom; N(E_F) = 2.53 states/eV/f.u.
1.0
2.879 1.662 4.709
-2.879 1.662 4.709
0.000 -3.325 4.709
Co Te O
3 1 8
Direct
0.000 0.500 0.500
0.500 0.000 0.500
0.500 0.500 0.000
0.000 0.000 0.000
0.242 0.242 0.724
0.242 0.724 0.242
0.273 0.273 0.273
0.276 0.758 0.758
0.724 0.242 0.242
0.727 0.727 0.727
0.758 0.276 0.758
0.758 0.758 0.276

***

Which formula does entry 3 have?
YBe2Br